VASP calculation (PBE) on a relaxed structure of Tl2RhBr5.

The space group is P1 (No. 1) and the conventional cell measures 5.1898, 7.8251 and 8.5969 Å, with angles of 68.77, 72.95 and 70.70 degrees. The distinct sites, in fractional coordinates, are Tl at (0.0000, 0.0000, 0.0000), Tl at (0.4766, 0.4694, 0.5942), Rh at (0.1828, 0.3779, 0.2639), Br at (0.1293, 0.1842, 0.5734), Br at (0.2313, 0.5797, 0.9562), Br at (0.3705, 0.0772, 0.1867), Br at (0.6883, 0.4124, 0.2170) and Br at (0.9899, 0.6698, 0.3614).

Its calculated total energy is -0.228 Ry per atom.

=====

VASP calculation (PBE) on a relaxed structure of Ba2TlReN.

The space group is P4/mmm (No. 123) and the conventional cell measures 6.3840, 6.3840 and 3.8415 Å, with angles of 90.00, 90.00 and 90.00 degrees. The distinct sites, in fractional coordinates, are Ba at (0.0000, 0.5000, 0.0000), Tl at (0.0000, 0.0000, 0.5000), Re at (0.5000, 0.5000, 0.0000) and N at (0.5000, 0.5000, 0.5000).

Its calculated total energy is -0.379 Ry per atom.

=====

VASP calculation (PBE) on a relaxed structure of Mn2IrCl.

The space group is Imm2 (No. 44) and the conventional cell measures 3.0426, 3.0778 and 14.6114 Å, with angles of 90.00, 90.00 and 90.00 degrees. The distinct sites, in fractional coordinates, are Mn at (0.0000, 0.0000, 0.0000), Mn at (0.0000, 0.5000, 0.2659), Ir at (0.0000, 0.0000, 0.4080) and Cl at (0.0000, 0.5000, 0.6547).

Its calculated total energy is -0.524 Ry per atom.

=====

VASP calculation (PBE) on a relaxed structure of Sc2CuPd8.

The space group is C2/m (No. 12) and the conventional cell measures 14.1668, 4.1295 and 6.2686 Å, with angles of 90.00, 106.73 and 90.00 degrees. The distinct sites, in fractional coordinates, are Sc at (0.2156, 0.0000, 0.1636), Cu at (0.0000, 0.5000, 0.5000), Pd at (0.0378, 0.0000, 0.2317), Pd at (0.0948, 0.5000, 0.9448), Pd at (0.1462, 0.0000, 0.6924) and Pd at (0.1714, 0.5000, 0.4092).

Its calculated total energy is -0.429 Ry per atom. The formation energy is -5.95 eV/f.u.

=====

- Look up the calculated total energy of the fourth one.
  -0.429 Ry per atom

=====

- calculated total energy of number 3 (Mn2IrCl)?
  -0.524 Ry per atom

=====

- Which of these has the lowest calculated total energy?
  Mn2IrCl

=====

- The lowest calculated total energy belongs to which entry?
  Mn2IrCl